Computed, not measured: a relaxed LiTcW2 crystal at the GGA-PBE level of DFT.

Geometry as POSCAR:
```
LiTcW2
1.0
-1.155 4.416 1.395
-4.476 0.961 -1.351
1.877 -3.691 2.374
Tc W Li
1 2 1
Cartesian
-1.047 1.707 1.896
-2.707 -0.021 0.523
0.000 0.000 0.000
-2.816 2.689 0.022
```

Output
- total magnetic moment (μB per cell) = 0.00
- final energy (eV/f.u.) = -36.36
- symmetry = I-4m2 (119)